Entry 1:
LuPaFeCo | PBE | optimized geometry

Cell lengths 6.6050, 6.6050, 6.6050 Å; angles 90.00, 90.00, 90.00 degrees
Space group F-43m (No. 216)
Asymmetric unit:
Lu 0.0000 0.0000 0.0000
Pa 0.0000 0.0000 0.5000
Fe 0.2500 0.2500 0.2500
Co 0.2500 0.2500 0.7500

total magnetization	1.188	μB per formula unit
energy relative to the elements	-0.10	eV per atom

Entry 2:
LuPuFeCo | PBE | optimized geometry

Cell lengths 6.5736, 6.5736, 6.5736 Å; angles 90.00, 90.00, 90.00 degrees
Space group F-43m (No. 216)
Asymmetric unit:
Lu 0.0000 0.0000 0.0000
Pu 0.0000 0.0000 0.5000
Fe 0.2500 0.2500 0.2500
Co 0.2500 0.2500 0.7500

total magnetization	3.075	μB per formula unit
energy relative to the elements	-0.03	eV per atom

Entry 3:
LuScFeCo | PBE | optimized geometry

Cell lengths 6.3607, 6.3607, 6.3607 Å; angles 90.00, 90.00, 90.00 degrees
Space group F-43m (No. 216)
Asymmetric unit:
Lu 0.0000 0.0000 0.0000
Sc 0.0000 0.0000 0.5000
Fe 0.2500 0.2500 0.2500
Co 0.2500 0.2500 0.7500

total magnetization	0.302	μB per formula unit
energy relative to the elements	-0.12	eV per atom

Entry 4:
LuThFeCo | PBE | optimized geometry

Cell lengths 6.7325, 6.7325, 6.7325 Å; angles 90.00, 90.00, 90.00 degrees
Space group F-43m (No. 216)
Asymmetric unit:
Lu 0.0000 0.0000 0.0000
Th 0.0000 0.0000 0.5000
Fe 0.2500 0.2500 0.2500
Co 0.2500 0.2500 0.7500

total magnetization	0.779	μB per formula unit
energy relative to the elements	-0.07	eV per atom

Entry 5:
TmLuFeCo | PBE | optimized geometry

Cell lengths 6.5229, 6.5229, 6.5229 Å; angles 90.00, 90.00, 90.00 degrees
Space group F-43m (No. 216)
Asymmetric unit:
Tm 0.0000 0.0000 0.0000
Lu 0.0000 0.0000 0.5000
Fe 0.2500 0.2500 0.7500
Co 0.2500 0.2500 0.2500

total magnetization	0.340	μB per formula unit
energy relative to the elements	-0.05	eV per atom

Entry 6:
LuZrFeCo | PBE | optimized geometry

Cell lengths 6.4224, 6.4224, 6.4224 Å; angles 90.00, 90.00, 90.00 degrees
Space group F-43m (No. 216)
Asymmetric unit:
Lu 0.0000 0.0000 0.0000
Zr 0.0000 0.0000 0.5000
Fe 0.2500 0.2500 0.2500
Co 0.2500 0.2500 0.7500

total magnetization	0.440	μB per formula unit
energy relative to the elements	-0.18	eV per atom

Entry 7:
Mg2FeCo | PBE | optimized geometry

Cell lengths 2.7720, 4.1326, 5.4335 Å; angles 90.00, 103.27, 90.00 degrees
Space group Pm (No. 6)
Asymmetric unit:
Mg 0.0000 0.0000 0.0000
Mg 0.2895 0.5000 0.6827
Fe 0.6079 0.0000 0.4444
Co 0.6935 0.5000 0.2376

total magnetization	3.692	μB per formula unit
energy relative to the elements	0.18	eV per atom

Entry 8:
Mg2FeCo | PBE | optimized geometry

Cell lengths 4.3410, 4.3410, 6.1231 Å; angles 90.00, 90.00, 90.00 degrees
Space group I-4m2 (No. 119)
Asymmetric unit:
Mg 0.0000 0.0000 0.0000
Mg 0.0000 0.5000 0.2500
Fe 0.0000 0.0000 0.5000
Co 0.0000 0.5000 0.7500

total magnetization	3.386	μB per formula unit
energy relative to the elements	0.19	eV per atom

Entry 9:
MgFeCo | PBE | optimized geometry

Cell lengths 4.8812, 4.9010, 6.8801 Å; angles 90.00, 90.00, 90.00 degrees
Space group Imma (No. 74)
Asymmetric unit:
Mg 0.0000 0.2500 0.1269
Fe 0.2500 0.2500 0.7500
Co 0.0000 0.0000 0.5000

E above lowest polymorph	0	meV/atom
total magnetization	3.677	μB per formula unit
energy relative to the elements	0.02	eV per atom

Entry 10:
Mg2FeCo | PBE | optimized geometry

Cell lengths 2.7638, 2.7638, 7.7010 Å; angles 90.00, 90.00, 90.00 degrees
Space group P4/mmm (No. 123)
Asymmetric unit:
Mg 0.0000 0.0000 0.2413
Fe 0.5000 0.5000 0.5000
Co 0.5000 0.5000 0.0000

total magnetization	3.417	μB per formula unit
energy relative to the elements	0.25	eV per atom

Entry 11:
Mg2FeCo | PBE | optimized geometry

Cell lengths 9.8827, 3.0955, 4.4946 Å; angles 90.00, 116.47, 90.00 degrees
Space group Cm (No. 8)
Asymmetric unit:
Mg 0.0000 0.0000 0.0000
Mg 0.2170 0.0000 0.7160
Fe 0.2700 0.5000 0.2694
Co 0.4603 0.0000 0.4599

total magnetization	3.872	μB per formula unit
energy relative to the elements	0.14	eV per atom

Entry 12:
MgFeCo | PBE | optimized geometry

Cell lengths 2.9634, 2.9634, 9.4176 Å; angles 90.00, 90.00, 90.00 degrees
Space group I4mm (No. 107)
Asymmetric unit:
Mg 0.0000 0.0000 0.0000
Fe 0.0000 0.0000 0.3061
Co 0.0000 0.0000 0.6853

E above lowest polymorph	60	meV/atom
total magnetization	3.971	μB per formula unit
energy relative to the elements	0.08	eV per atom

Entry 13:
MgFeCo | PBE | optimized geometry

Cell lengths 4.1751, 4.1751, 2.6432 Å; angles 90.00, 90.00, 120.00 degrees
Space group P3m1 (No. 156)
Asymmetric unit:
Mg 0.0000 0.0000 0.0000
Fe 0.6667 0.3333 0.5989
Co 0.3333 0.6667 0.3849

E above lowest polymorph	120	meV/atom
total magnetization	3.958	μB per formula unit
energy relative to the elements	0.14	eV per atom

Entry 14:
Mg14FeCo | PBE | optimized geometry

Cell lengths 9.8819, 6.1934, 10.7161 Å; angles 90.00, 90.00, 90.00 degrees
Space group Amm2 (No. 38)
Asymmetric unit:
Mg 0.0000 0.0000 0.0000
Mg 0.0000 0.0000 0.4996
Mg 0.0000 0.2493 0.2459
Mg 0.2534 0.0000 0.8337
Mg 0.2574 0.0000 0.3342
Mg 0.2810 0.2479 0.5742
Mg 0.5000 0.2503 0.2633
Fe 0.5000 0.0000 0.9911
Co 0.5000 0.0000 0.4899

E above lowest polymorph	0	meV/atom
total magnetization	3.727	μB per formula unit
energy relative to the elements	0.11	eV per atom

Entry 15:
Mg2FeCo | PBE | optimized geometry

Cell lengths 2.7950, 2.7950, 26.7238 Å; angles 90.00, 90.00, 120.00 degrees
Space group R-3m (No. 166, hexagonal axes)
Asymmetric unit:
Mg 0.0000 0.0000 0.2485
Fe 0.0000 0.0000 0.0000
Co 0.0000 0.0000 0.5000

total magnetization	4.134	μB per formula unit
energy relative to the elements	0.30	eV per atom

Entry 16:
Mg6FeCo | PBE | optimized geometry

Cell lengths 4.7147, 5.8360, 10.5176 Å; angles 90.00, 90.00, 90.00 degrees
Space group Amm2 (No. 38)
Asymmetric unit:
Mg 0.0000 0.0000 0.0000
Mg 0.0000 0.0000 0.4974
Mg 0.0000 0.2483 0.2663
Mg 0.5000 0.2499 0.1010
Fe 0.5000 0.0000 0.8522
Co 0.5000 0.0000 0.3510

E above lowest polymorph	29	meV/atom
total magnetization	3.470	μB per formula unit
energy relative to the elements	0.22	eV per atom

Entry 17:
Mg14FeCo | PBE | optimized geometry

Cell lengths 6.1805, 6.1805, 9.8006 Å; angles 90.00, 90.00, 120.00 degrees
Space group P-6m2 (No. 187)
Asymmetric unit:
Mg 0.0000 0.0000 0.2484
Mg 0.0174 0.5087 0.2530
Mg 0.3325 0.1663 0.5000
Mg 0.3352 0.1676 0.0000
Fe 0.3333 0.6667 0.0000
Co 0.3333 0.6667 0.5000

E above lowest polymorph	15	meV/atom
total magnetization	3.448	μB per formula unit
energy relative to the elements	0.12	eV per atom

Entry 18:
Mg2FeCo | PBE | optimized geometry

Cell lengths 2.7135, 4.0225, 5.3975 Å; angles 90.00, 91.05, 90.00 degrees
Space group P2/m (No. 10)
Asymmetric unit:
Mg 0.0009 0.0000 0.2534
Fe 0.5000 0.5000 0.0000
Co 0.5000 0.5000 0.5000

total magnetization	3.668	μB per formula unit
energy relative to the elements	0.24	eV per atom

Entry 19:
MgFeCo3 | PBE | optimized geometry

Cell lengths 4.3075, 4.3075, 4.3075 Å; angles 90.00, 90.00, 90.00 degrees
Space group Pm-3m (No. 221)
Asymmetric unit:
Mg 0.0000 0.0000 0.0000
Fe 0.5000 0.5000 0.5000
Co 0.0000 0.5000 0.5000

E above lowest polymorph	0	meV/atom
total magnetization	6.997	μB per formula unit
energy relative to the elements	0.86	eV per atom

Entry 20:
Mg2FeCo | PBE | optimized geometry

Cell lengths 6.9769, 6.9769, 5.2850 Å; angles 90.00, 90.00, 90.00 degrees
Space group I-42d (No. 122)
Asymmetric unit:
Mg 0.2400 0.2500 0.1250
Fe 0.0000 0.0000 0.5000
Co 0.0000 0.0000 0.0000

total magnetization	3.710	μB per formula unit
energy relative to the elements	0.59	eV per atom